A plane-wave DFT calculation with PBE was carried out for a geometry-optimized Ca4Co structure.

The value obtained for the total energy is -2.9129 eV per atom. As for the formation energy: 110 meV/atom.

The space group is Ibam (No. 72) and the conventional cell measures 7.219, 14.371 and 6.355 Å, with angles of 90.00, 90.00 and 90.00 degrees. Symmetry generates all atoms from Ca at (0.144, 0.162, 0.000), Ca at (0.199, 0.428, 0.000) and Co at (0.000, 0.000, 0.250).